InTc3 GGA-PBE optimized geometry; final energy = -8.179 eV/atom; energy of formation from the pure elements = 27.0 kJ/mol of atoms
1.0
-0.470 2.220 -1.858
1.367 -2.562 -3.407
-4.566 -1.535 -0.677
In Tc
1 3
Direct
0.000 0.000 0.004 In
0.500 0.000 0.511 Tc
0.500 0.500 0.806 Tc
0.000 0.500 0.345 Tc

***

In2Tc GGA-PBE optimized geometry; E above lowest polymorph = 94 meV/atom; final energy = -4.972 eV/atom; energy of formation from the pure elements = 29.8 kJ/mol of atoms
1.0
5.416 -0.021 -0.003
3.212 4.361 0.003
-4.314 -2.171 2.453
In Tc
2 1
Direct
0.347 0.347 0.000 In
0.653 0.653 0.000 In
0.000 0.000 0.000 Tc

***

In2Tc GGA-PBE optimized geometry; E above lowest polymorph = 176 meV/atom; final energy = -4.890 eV/atom; energy of formation from the pure elements = 37.8 kJ/mol of atoms
1.0
-1.967 1.375 -2.008
-1.124 -1.676 2.392
-0.064 5.875 4.085
In Tc
2 1
Direct
0.333 0.667 0.693 In
0.667 0.333 0.307 In
0.000 0.000 0.000 Tc

***

In2Tc2Te GGA-PBE optimized geometry; final energy = -5.522 eV/atom
1.0
-5.438 -4.198 0.466
2.581 -3.905 -5.051
2.041 -2.328 2.843
Te Tc In
2 4 4
Direct
0.000 0.000 0.000 Te
0.500 0.500 0.000 Te
0.355 0.855 0.000 Tc
0.855 0.645 0.000 Tc
0.645 0.145 0.000 Tc
0.145 0.355 0.000 Tc
0.156 0.656 0.500 In
0.656 0.844 0.500 In
0.844 0.344 0.500 In
0.344 0.156 0.500 In

***

InTcTe3 GGA-PBE optimized geometry; E above lowest polymorph = 855 meV/atom; final energy = -3.314 eV/atom
1.0
5.625 0.000 0.000
0.000 5.625 0.000
0.000 0.000 5.625
Te Tc In
3 1 1
Direct
0.000 0.500 0.000 Te
0.000 0.000 0.500 Te
0.500 0.000 0.000 Te
0.500 0.500 0.500 Tc
0.000 0.000 0.000 In

***

In3TcTe GGA-PBE optimized geometry; E above lowest polymorph = 0 meV/atom; final energy = -3.940 eV/atom
1.0
-4.113 -3.174 1.004
2.183 -1.368 4.622
-2.513 4.007 2.373
Te Tc In
1 1 3
Direct
0.500 0.500 0.500 Te
0.000 0.000 0.000 Tc
0.000 0.500 0.000 In
0.000 0.000 0.500 In
0.500 0.000 0.000 In

***

Number 1: spin magnetization 0.00 μB/cell. Number 2: spin magnetization 0.63 μB/cell. Number 3: spin magnetization 1.04 μB/cell. Number 4: spin magnetization 0.00 μB/cell. Number 5: spin magnetization 4.47 μB/cell. Number 6: spin magnetization 1.71 μB/cell.